An optimized crystal structure of Ti4Al5V. Source: Alexandria via LeMat-Bulk, functional PBE.

## Properties
symmetry = Pmmn (59)
polymorph energy (0 for the lowest one) = 33.4 kJ per mole of atoms
density = 3526 kg/m3

a b c (Å): 6.7249 9.7692 5.4097
angles (deg): 90.00 90.00 90.00
With the nearest neighbours (Å) after each atom.
Sites, in units of the cell vectors:
Al1 0.1855 0.2843 0.2453  1 V 2.53, 3 Al 2.58-2.76, 3 Ti 2.72-2.81
Ti1 0.5198 0.3541 0.5000  1 V 2.49, 4 Al 2.72-2.74
Ti2 0.8742 0.5000 0.2598  2 Ti 2.60-2.81, 1 V 2.64, 2 Al 2.81
Ti3 0.8742 0.5000 0.7402  2 Ti 2.60-2.81, 1 V 2.64, 2 Al 2.81
Al2 0.1855 0.2843 0.7547  1 V 2.53, 3 Al 2.58-2.76, 3 Ti 2.72-2.81
Al3 0.5529 0.0000 0.5000  4 Al 3.05, 6 Ti 3.10-3.20, 2 V 3.12
V1 0.7847 0.0000 0.0000  4 Ti 2.49-2.64, 4 Al 2.53
Al4 0.8145 0.7843 0.7453  1 V 2.53, 3 Al 2.58-2.76, 3 Ti 2.72-2.81
Al5 0.8145 0.7843 0.2547  1 V 2.53, 3 Al 2.58-2.76, 3 Ti 2.72-2.81
Ti4 0.4802 0.1459 0.0000  1 V 2.49, 4 Al 2.72-2.74
Al6 0.8145 0.2157 0.2547  1 V 2.53, 3 Al 2.58-2.76, 3 Ti 2.72-2.81
Ti5 0.5198 0.6459 0.5000  1 V 2.49, 4 Al 2.72-2.74
Al7 0.8145 0.2157 0.7453  1 V 2.53, 3 Al 2.58-2.76, 3 Ti 2.72-2.81
Al8 0.4471 0.5000 0.0000  4 Al 3.05, 6 Ti 3.10-3.20, 2 V 3.12
Ti6 0.4802 0.8541 0.0000  1 V 2.49, 4 Al 2.72-2.74
Al9 0.1855 0.7157 0.7547  1 V 2.53, 3 Al 2.58-2.76, 3 Ti 2.72-2.81
Al10 0.1855 0.7157 0.2453  1 V 2.53, 3 Al 2.58-2.76, 3 Ti 2.72-2.81
V2 0.2153 0.5000 0.5000  4 Ti 2.49-2.64, 4 Al 2.53
Ti7 0.1258 0.0000 0.7598  2 Ti 2.60-2.81, 1 V 2.64, 2 Al 2.81
Ti8 0.1258 0.0000 0.2402  2 Ti 2.60-2.81, 1 V 2.64, 2 Al 2.81



An optimized crystal structure of LiDyTm2. Source: Alexandria via LeMat-Bulk, functional PBE.

## Properties
symmetry = P4/mmm (123)
polymorph energy (0 for the lowest one) = 0.0 kJ per mole of atoms
density = 7616 kg/m3

a b c (Å): 3.5579 3.5579 8.7383
angles (deg): 90.00 90.00 90.00
With the nearest neighbours (Å) after each atom.
Sites, in units of the cell vectors:
Li1 0.5000 0.5000 0.0000  8 Tm 3.17
Dy1 0.5000 0.5000 0.5000  8 Tm 3.50, 4 Dy 3.56
Tm1 0.0000 0.0000 0.7784  4 Li 3.17, 4 Dy 3.50
Tm2 0.0000 0.0000 0.2216  4 Li 3.17, 4 Dy 3.50



Number 1: E_form 0.1185 eV per atom. Number 2: E_form 0.0740 eV per atom.